[1]
DFT (GGA-PBE) results for Ag3Pd after structural relaxation.

The structure in POSCAR format:
```
Ag3Pd
1.0
-0.529 -0.339 4.098
-3.717 -1.729 -0.623
3.819 -2.583 -1.818
Ag Pd
3 1
Cartesian
0.583 -1.978 2.009
-1.010 -2.673 -0.352
-2.123 -1.034 1.738
0.000 0.000 0.000
```

Calculated values
- ΔH_f (0 K) (meV per atom) = -34
- total magnetization (μB per cell) = 0.00



[2]
DFT (GGA-PBE) results for AgPd4 after structural relaxation.

The structure in POSCAR format:
```
AgPd4
1.0
-1.845 -4.075 -1.891
3.897 -0.434 -2.866
2.236 -2.606 3.435
Pd Ag
4 1
Cartesian
0.000 0.000 0.000
0.196 -3.341 0.772
3.066 -1.520 0.284
1.026 -2.255 -2.379
2.144 -3.558 -0.661
```

Calculated values
- ΔH_f (0 K) (meV per atom) = 1274
- total magnetization (μB per cell) = 0.00
- excess energy over the best structure of this formula in the dataset (meV per atom) = 1270



[3]
DFT (GGA-PBE) results for Ag8Pd after structural relaxation.

The structure in POSCAR format:
```
Ag8Pd
1.0
-5.446 0.693 3.505
-2.958 -2.111 -5.406
3.740 -1.939 4.968
Ag Pd
8 1
Cartesian
-0.714 -2.053 -1.931
1.496 -1.997 1.493
-1.141 -0.833 5.665
-3.387 -0.892 2.202
-5.619 -0.947 -1.271
-1.278 -2.464 0.866
-0.566 -0.413 2.809
-2.786 -0.470 -0.630
0.000 0.000 0.000
```

Calculated values
- ΔH_f (0 K) (meV per atom) = -8
- total magnetization (μB per cell) = 0.00
- excess energy over the best structure of this formula in the dataset (meV per atom) = 0



[4]
DFT (GGA-PBE) results for Ag4Pd after structural relaxation.

The structure in POSCAR format:
```
Ag4Pd
1.0
4.794 0.000 0.001
0.000 4.932 -1.499
0.001 0.134 7.344
Ag Pd
8 2
Cartesian
0.002 2.982 0.567
2.399 4.483 0.857
4.792 2.084 5.279
2.395 0.583 4.989
4.792 4.016 3.222
2.395 3.583 5.546
0.002 1.050 2.623
2.399 1.483 0.299
0.000 0.000 0.000
2.397 2.533 2.923
```

Calculated values
- ΔH_f (0 K) (meV per atom) = 6
- total magnetization (μB per cell) = 0.00
- excess energy over the best structure of this formula in the dataset (meV per atom) = 0



[5]
DFT (GGA-PBE) results for Ag3Pd7 after structural relaxation.

The structure in POSCAR format:
```
Ag3Pd7
1.0
3.959 0.000 0.000
0.000 5.698 0.196
-1.979 -1.641 7.066
Ag Pd
3 7
Cartesian
0.000 0.000 0.000
1.979 1.301 4.326
0.000 2.755 2.937
0.000 2.849 0.098
1.979 4.175 4.424
0.000 -0.119 2.838
1.979 1.362 1.458
0.000 2.695 5.805
1.979 4.213 1.566
0.000 -0.156 5.696
```

Calculated values
- ΔH_f (0 K) (meV per atom) = -4
- total magnetization (μB per cell) = 0.00



[6]
DFT (GGA-PBE) results for Ag2Pd after structural relaxation.

The structure in POSCAR format:
```
Ag2Pd
1.0
-2.681 -0.298 1.101
-0.503 -2.216 -1.823
3.702 -2.593 4.458
Pd Ag
1 2
Cartesian
0.000 0.000 0.000
-0.901 -2.516 0.979
1.420 -2.590 2.756
```

Calculated values
- ΔH_f (0 K) (meV per atom) = -22
- total magnetization (μB per cell) = 0.00
- excess energy over the best structure of this formula in the dataset (meV per atom) = 13



[7]
DFT (GGA-PBE) results for Ag3Pd after structural relaxation.

The structure in POSCAR format:
```
Ag3Pd
1.0
-2.467 4.364 2.855
-3.105 -3.140 -3.713
-1.197 -2.981 3.521
Ag Pd
6 2
Cartesian
-3.472 0.868 4.393
-2.248 -1.297 2.977
-5.012 -0.690 2.551
-3.297 -2.624 -1.729
-4.521 -0.460 -0.313
-1.757 -1.067 0.112
-2.979 1.118 1.546
-3.790 -2.874 1.118
```

Calculated values
- ΔH_f (0 K) (meV per atom) = -34
- total magnetization (μB per cell) = 0.00



[8]
DFT (GGA-PBE) results for Ag3Pd after structural relaxation.

The structure in POSCAR format:
```
Ag3Pd
1.0
-2.261 -0.176 -1.887
-3.105 -0.664 3.782
2.059 5.101 -0.638
Pd Ag
1 3
Cartesian
-3.090 -0.661 3.764
-1.371 2.141 1.442
-2.658 -0.415 0.917
-0.941 2.332 -1.396
```

Calculated values
- ΔH_f (0 K) (meV per atom) = -16
- total magnetization (μB per cell) = 0.00



[9]
DFT (GGA-PBE) results for Ag6Pd5 after structural relaxation.

The structure in POSCAR format:
```
Ag6Pd5
1.0
8.198 0.000 -0.498
4.099 5.282 -0.249
2.144 0.000 4.265
Ag Pd
6 5
Cartesian
8.017 0.000 2.324
2.324 0.000 1.442
7.495 3.769 3.323
11.044 3.769 -0.055
6.945 1.513 0.194
3.397 1.513 3.572
5.171 0.000 1.883
4.099 1.380 -0.249
8.198 3.903 -0.498
5.171 2.853 1.883
9.270 2.429 1.634
```

Calculated values
- ΔH_f (0 K) (meV per atom) = 40
- total magnetization (μB per cell) = 0.00



[10]
DFT (GGA-PBE) results for Ag2Pd3 after structural relaxation.

The structure in POSCAR format:
```
Ag2Pd3
1.0
2.836 0.000 0.000
1.418 2.456 0.000
1.418 0.819 11.686
Ag Pd
2 3
Cartesian
1.418 0.819 1.222
4.254 2.456 10.464
1.418 0.819 8.118
2.836 1.637 5.843
4.254 2.456 3.568
```

Calculated values
- ΔH_f (0 K) (meV per atom) = -4
- total magnetization (μB per cell) = 0.22
- excess energy over the best structure of this formula in the dataset (meV per atom) = 0



[11]
DFT (GGA-PBE) results for Ag4Pd3 after structural relaxation.

The structure in POSCAR format:
```
Ag4Pd3
1.0
2.819 0.000 -0.410
-0.113 4.011 -0.776
0.068 -0.078 10.356
Ag Pd
4 3
Cartesian
2.016 0.822 3.958
0.759 3.111 5.211
1.163 3.660 7.988
1.611 0.274 1.181
2.427 1.380 6.781
-0.056 2.006 -0.388
0.348 2.554 2.389
```

Calculated values
- ΔH_f (0 K) (meV per atom) = -30
- total magnetization (μB per cell) = 0.00
- excess energy over the best structure of this formula in the dataset (meV per atom) = 0



[12]
DFT (GGA-PBE) results for Ag6Pd after structural relaxation.

The structure in POSCAR format:
```
Ag6Pd
1.0
4.041 0.000 0.000
0.000 4.041 0.000
0.000 0.000 8.167
Ag Pd
6 1
Cartesian
0.000 0.000 4.083
2.020 2.020 0.000
2.020 0.000 6.078
0.000 2.020 2.089
2.020 0.000 2.089
0.000 2.020 6.078
0.000 0.000 0.000
```

Calculated values
- ΔH_f (0 K) (meV per atom) = 89
- total magnetization (μB per cell) = 0.00
- excess energy over the best structure of this formula in the dataset (meV per atom) = 67



[13]
DFT (GGA-PBE) results for AgPd4 after structural relaxation.

The structure in POSCAR format:
```
AgPd4
1.0
-1.759 0.557 -2.127
-1.062 -3.839 -0.128
-3.772 2.920 5.748
Ag Pd
1 4
Cartesian
0.000 0.000 0.000
-2.470 -1.379 -0.183
-2.088 0.515 1.861
-4.505 -0.877 1.632
-4.122 1.018 3.675
```

Calculated values
- ΔH_f (0 K) (meV per atom) = 4
- total magnetization (μB per cell) = 0.61
- excess energy over the best structure of this formula in the dataset (meV per atom) = 0



[14]
DFT (GGA-PBE) results for Ag4Pd3 after structural relaxation.

The structure in POSCAR format:
```
Ag4Pd3
1.0
2.800 0.000 0.000
0.000 6.994 -0.428
-1.400 -3.516 6.342
Ag Pd
4 3
Cartesian
0.000 2.604 0.813
1.400 0.874 5.100
0.000 -1.699 4.542
1.400 5.177 1.372
0.000 0.000 0.000
0.000 0.531 2.684
1.400 2.947 3.229
```

Calculated values
- ΔH_f (0 K) (meV per atom) = 42
- total magnetization (μB per cell) = 0.00
- excess energy over the best structure of this formula in the dataset (meV per atom) = 73



[15]
DFT (GGA-PBE) results for Ag8Pd3 after structural relaxation.

The structure in POSCAR format:
```
Ag8Pd3
1.0
4.095 0.000 0.000
-2.048 4.475 -0.994
0.000 -0.514 10.392
Ag Pd
8 3
Cartesian
2.048 1.987 0.498
0.000 1.974 8.900
2.048 -0.008 8.406
0.000 3.969 0.993
2.048 2.481 6.919
0.000 1.480 2.479
2.048 0.976 4.464
0.000 2.985 4.934
0.000 0.000 0.000
2.048 3.475 2.981
0.000 0.486 6.418
```

Calculated values
- ΔH_f (0 K) (meV per atom) = -36
- total magnetization (μB per cell) = 0.00
- excess energy over the best structure of this formula in the dataset (meV per atom) = 0



[16]
DFT (GGA-PBE) results for Ag4Pd after structural relaxation.

The structure in POSCAR format:
```
Ag4Pd
1.0
-1.128 -3.570 -4.680
4.830 -3.285 1.342
-2.894 -3.026 3.006
Ag Pd
8 2
Cartesian
3.478 -3.961 -0.638
1.389 -4.283 1.444
-0.581 -5.598 -1.776
-0.925 -3.463 0.043
2.145 -4.956 -2.923
0.223 -2.895 -2.699
1.557 -1.900 -0.414
1.733 -6.419 -0.375
-2.170 -2.269 2.255
-0.723 -0.756 0.752
```

Calculated values
- ΔH_f (0 K) (meV per atom) = 132
- total magnetization (μB per cell) = 0.00
- excess energy over the best structure of this formula in the dataset (meV per atom) = 126



[17]
DFT (GGA-PBE) results for Ag3Pd2 after structural relaxation.

The structure in POSCAR format:
```
Ag3Pd2
1.0
-1.382 2.450 -0.174
-0.915 -0.015 7.053
7.810 4.231 -2.445
Ag Pd
6 4
Cartesian
3.058 2.605 0.981
2.455 4.061 3.453
5.376 4.159 4.453
0.137 2.507 -0.018
4.434 5.056 1.759
1.080 1.609 2.676
1.647 2.122 5.393
3.866 4.544 -0.959
-0.630 0.790 4.715
6.143 5.876 -0.281
```

Calculated values
- ΔH_f (0 K) (meV per atom) = 26
- total magnetization (μB per cell) = 0.00



[18]
DFT (GGA-PBE) results for PmAgPd4 after structural relaxation.

The structure in POSCAR format:
```
PmAgPd4
1.0
5.384 0.000 0.000
2.692 4.663 0.000
2.692 1.554 4.396
Pd Ag Pm
4 1 1
Cartesian
5.384 3.108 0.546
5.384 1.551 2.749
6.733 3.887 2.749
4.035 3.887 2.749
0.000 0.000 0.000
2.692 1.554 1.099
```

Calculated values
- ΔH_f (0 K) (meV per atom) = -526
- total magnetization (μB per cell) = 0.00



[19]
DFT (GGA-PBE) results for Pm2AgPd2 after structural relaxation.

The structure in POSCAR format:
```
Pm2AgPd2
1.0
3.841 0.000 0.000
0.000 7.767 0.000
0.000 0.000 7.767
Pm Ag Pd
4 2 4
Cartesian
1.921 1.341 5.225
1.921 5.225 6.426
1.921 6.426 2.542
1.921 2.542 1.341
0.000 0.000 0.000
0.000 3.884 3.884
0.000 2.882 6.766
0.000 6.766 4.885
0.000 4.885 1.001
0.000 1.001 2.882
```

Calculated values
- ΔH_f (0 K) (meV per atom) = -689
- total magnetization (μB per cell) = 0.00



[20]
DFT (GGA-PBE) results for Pm6AgPd5 after structural relaxation.

The structure in POSCAR format:
```
Pm6AgPd5
1.0
7.302 0.160 0.000
2.208 7.011 0.000
1.104 3.505 6.236
Pm Ag Pd
6 1 5
Cartesian
5.962 1.962 2.170
3.548 5.209 2.170
2.386 1.926 0.000
7.124 5.245 0.000
7.066 5.467 4.066
4.652 8.715 4.066
0.000 0.000 0.000
4.755 3.586 4.294
1.104 3.505 2.137
4.755 3.586 0.000
2.208 7.011 4.099
5.859 7.091 1.941
```

Calculated values
- ΔH_f (0 K) (meV per atom) = -591
- total magnetization (μB per cell) = 0.00
- excess energy over the best structure of this formula in the dataset (meV per atom) = 88